RbHfAsSe2 after structural relaxation. Source: Alexandria, functional PBEsol.

## Properties
For the total energy, the calculation gives -16.9 eV/cell. The calculation puts the energy relative to the elements, uncorrected at 1.478 eV per atom. As for the symmetry: P4/mmm, No. 123.

Structure (POSCAR):
```
RbHfAsSe2
1.0
5.306 0.000 0.000
0.000 5.306 0.000
0.000 0.000 5.198
Rb Hf As Se
1 1 1 2
Cartesian
0.000 0.000 0.000
2.653 2.653 2.599
0.000 0.000 2.599
0.000 2.653 0.000
2.653 0.000 0.000
```